Entry 1:
VASP calculation (PBE) on an optimized crystal structure of VCdI.

Cell lengths 3.4443, 6.1177, 7.9612 Å; angles 93.14, 94.20, 105.21 degrees
Element x y z (fractional)
V  0.0000  0.0000  0.0000
V  0.2368  0.2323  0.8603
Cd  0.4857  0.8774  0.6750
Cd  0.7851  0.4508  0.5955
I  0.5655  0.0616  0.2726
I  0.9137  0.5383  0.0260

Calculated values
ΔE_f (raw): 0.55 eV per formula unit
E above lowest polymorph: 0.10 eV/f.u.
Spin magnetization: 0.00 μB/atom
Crystal system: triclinic
DOS(E_F): 1.5 states/eV/cell
Space group: No. 1
Final energy: -0.2703 Ry per atom

Entry 2:
VASP calculation (PBE) on an optimized crystal structure of VCdI3.

Cell lengths 5.5806, 5.5806, 5.5806 Å; angles 90.00, 90.00, 90.00 degrees
Element x y z (fractional)
V  0.0000  0.0000  0.0000
Cd  0.5000  0.5000  0.5000
I  0.0000  0.0000  0.5000
I  0.0000  0.5000  0.0000
I  0.5000  0.0000  0.0000

Calculated values
ΔE_f (raw): -0.42 eV per formula unit
E above lowest polymorph: 0.00 eV/f.u.
Spin magnetization: 0.44 μB/atom
Crystal system: cubic
DOS(E_F): 5.9 states/eV/cell
Space group: No. 221
Final energy: -0.2220 Ry per atom